Entry 1:
{"formula": "DyNi4Rh", "functional": "GGA-PBE", "state": "optimized geometry", "formation_enthalpy_0k_ev_per_atom": -0.071, "magmom_total_mub_per_fu": 1.6, "volume_a3_per_atom": 14.804, "de_polymorph_mev_per_atom": 199, "spacegroup": "No. 51", "total_energy_ev_per_cell": -71.01, "dos_at_fermi_per_ev_fu": 9.42, "lattice_angstrom": [[3.814, 0.000, 0.000], [0.000, 6.473, 0.000], [0.000, 0.000, 7.195]], "species": ["Rh", "Dy", "Dy", "Rh", "Ni", "Ni", "Ni", "Ni", "Ni", "Ni", "Ni", "Ni"], "fractional_positions": [[0.000, 0.244, 0.750], [0.000, 0.355, 0.250], [0.000, 0.645, 0.750], [0.000, 0.756, 0.250], [0.000, 0.000, 0.500], [0.500, 0.276, 0.533], [0.000, 0.000, 0.000], [0.500, 0.971, 0.750], [0.500, 0.276, 0.967], [0.500, 0.724, 0.033], [0.500, 0.724, 0.467], [0.500, 0.029, 0.250]]}

Entry 2:
{"formula": "Dy2Ni2Rh", "functional": "GGA-PBE", "state": "optimized geometry", "formation_enthalpy_0k_ev_per_atom": -0.499, "magmom_total_mub_per_fu": 0.0, "volume_a3_per_atom": 18.097, "spacegroup": "No. 127", "total_energy_ev_per_cell": -122.46, "dos_at_fermi_per_ev_fu": 3.83, "lattice_angstrom": [[6.863, 0.000, 0.000], [0.000, 6.863, 0.000], [0.000, 0.000, 7.684]], "species": ["Ni", "Rh", "Dy", "Dy", "Rh", "Dy", "Ni", "Ni", "Ni", "Dy", "Rh", "Dy", "Ni", "Dy", "Rh", "Dy", "Ni", "Dy", "Ni", "Ni"], "fractional_positions": [[0.380, 0.880, 0.750], [0.000, 0.000, 0.750], [0.315, 0.185, 0.500], [0.815, 0.315, 0.500], [0.500, 0.500, 0.750], [0.685, 0.815, 0.000], [0.880, 0.620, 0.250], [0.120, 0.380, 0.250], [0.620, 0.120, 0.250], [0.185, 0.685, 0.500], [0.500, 0.500, 0.250], [0.685, 0.815, 0.500], [0.880, 0.620, 0.750], [0.315, 0.185, 0.000], [0.000, 0.000, 0.250], [0.815, 0.315, 0.000], [0.380, 0.880, 0.250], [0.185, 0.685, 0.000], [0.120, 0.380, 0.750], [0.620, 0.120, 0.750]]}

Entry 3:
{"formula": "Dy6Ni2Rh", "functional": "GGA-PBE", "state": "optimized geometry", "formation_enthalpy_0k_ev_per_atom": -0.410, "magmom_total_mub_per_fu": 0.0, "volume_a3_per_atom": 23.621, "de_polymorph_mev_per_atom": 0, "spacegroup": "No. 71", "total_energy_ev_per_cell": -100.44, "dos_at_fermi_per_ev_fu": 7.91, "lattice_angstrom": [[7.732, 0.210, -2.737], [-4.005, 6.699, -2.531], [-0.007, -0.210, 8.202]], "species": ["Ni", "Dy", "Dy", "Dy", "Dy", "Dy", "Dy", "Ni", "Dy", "Dy", "Dy", "Dy", "Rh", "Rh", "Dy", "Ni", "Ni", "Dy"], "fractional_positions": [[0.335, 0.000, 0.335], [0.563, 0.738, 0.825], [0.311, 0.639, 0.328], [0.816, 0.258, 0.074], [0.184, 0.258, 0.442], [0.437, 0.262, 0.175], [0.689, 0.017, 0.328], [0.665, 0.000, 0.665], [0.311, 0.983, 0.672], [0.087, 0.262, 0.825], [0.913, 0.738, 0.175], [0.184, 0.742, 0.926], [0.000, 0.000, 0.000], [0.000, 0.500, 0.500], [0.689, 0.361, 0.672], [0.500, 0.380, 0.880], [0.500, 0.620, 0.120], [0.816, 0.742, 0.558]]}

Entry 4:
{"formula": "DyScNiRh", "functional": "GGA-PBE", "state": "optimized geometry", "formation_enthalpy_0k_ev_per_atom": -0.660, "magmom_total_mub_per_fu": 0.0, "volume_a3_per_atom": 18.202, "spacegroup": "No. 216", "total_energy_ev_per_cell": -26.70, "dos_at_fermi_per_ev_fu": 1.72, "lattice_angstrom": [[4.687, 0.000, 0.000], [2.344, 4.059, 0.000], [2.344, 1.353, 3.827]], "species": ["Dy", "Sc", "Rh", "Ni"], "fractional_positions": [[0.250, 0.250, 0.250], [0.750, 0.750, 0.750], [0.000, 0.000, 0.000], [0.500, 0.500, 0.500]]}

Entry 5:
{"formula": "Dy2Si3Ni12Rh", "functional": "GGA-PBE", "state": "optimized geometry", "magmom_total_mub_per_fu": 0.0, "volume_a3_per_atom": 13.498, "formation_energy_uncorrected_mev_per_atom": -94, "spacegroup": "No. 166", "total_energy_ev_per_cell": -103.89, "dos_at_fermi_per_ev_fu": 17.43, "lattice_angstrom": [[6.023, -1.396, -0.990], [1.760, 5.926, -0.990], [1.760, 1.025, 5.921]], "species": ["Ni", "Ni", "Ni", "Ni", "Ni", "Ni", "Ni", "Dy", "Si", "Ni", "Ni", "Ni", "Si", "Rh", "Dy", "Ni", "Ni", "Si"], "fractional_positions": [[0.302, 0.808, 0.808], [0.610, 0.610, 0.105], [0.192, 0.698, 0.192], [0.610, 0.105, 0.610], [0.808, 0.808, 0.302], [0.698, 0.192, 0.192], [0.895, 0.390, 0.390], [0.324, 0.324, 0.324], [0.000, 0.000, 0.500], [0.105, 0.610, 0.610], [0.390, 0.895, 0.390], [0.808, 0.302, 0.808], [0.000, 0.500, 0.000], [0.000, 0.000, 0.000], [0.676, 0.676, 0.676], [0.192, 0.192, 0.698], [0.390, 0.390, 0.895], [0.500, 0.000, 0.000]]}

Entry 6:
{"formula": "DySi2NiRh2", "functional": "GGA-PBE", "state": "optimized geometry", "magmom_total_mub_per_fu": 0.0, "volume_a3_per_atom": 16.569, "formation_energy_uncorrected_mev_per_atom": -518, "spacegroup": "No. 123", "total_energy_ev_per_cell": -39.04, "dos_at_fermi_per_ev_fu": 2.66, "lattice_angstrom": [[-2.824, -2.765, -1.612], [3.196, -2.554, -1.219], [-0.223, -2.574, 4.805]], "species": ["Rh", "Ni", "Rh", "Si", "Dy", "Si"], "fractional_positions": [[0.500, 0.500, 0.253], [0.000, 0.000, 0.000], [0.500, 0.500, 0.747], [0.000, 0.500, 0.000], [0.000, 0.000, 0.500], [0.500, 0.000, 0.000]]}

Entry 7:
{"formula": "DySi2NiRh", "functional": "GGA-PBE", "state": "optimized geometry", "magmom_total_mub_per_fu": 0.0, "volume_a3_per_atom": 15.779, "formation_energy_uncorrected_mev_per_atom": -952, "spacegroup": "No. 119", "total_energy_ev_per_cell": -33.34, "dos_at_fermi_per_ev_fu": 3.73, "lattice_angstrom": [[3.986, 0.000, 0.000], [0.000, 3.986, 0.000], [-1.993, -1.993, 4.966]], "species": ["Rh", "Si", "Si", "Ni", "Dy"], "fractional_positions": [[0.250, 0.750, 0.500], [0.380, 0.380, 0.759], [0.620, 0.620, 0.241], [0.750, 0.250, 0.500], [0.000, 0.000, 0.000]]}

Entry 8:
{"formula": "SmDyNiRh", "functional": "GGA-PBE", "state": "optimized geometry", "formation_enthalpy_0k_ev_per_atom": -0.608, "magmom_total_mub_per_fu": 0.0, "volume_a3_per_atom": 21.327, "spacegroup": "No. 38", "total_energy_ev_per_cell": -24.89, "dos_at_fermi_per_ev_fu": 2.55, "lattice_angstrom": [[-1.855, -1.444, 3.062], [3.619, -0.794, 1.819], [0.862, 5.579, 0.721]], "species": ["Rh", "Sm", "Ni", "Dy"], "fractional_positions": [[0.420, 0.000, 0.840], [0.142, 0.000, 0.285], [0.577, 0.500, 0.154], [0.861, 0.500, 0.722]]}

Entry 9:
{"formula": "Dy2Ni2SnRh5", "functional": "GGA-PBE", "state": "optimized geometry", "formation_enthalpy_0k_ev_per_atom": -0.564, "magmom_total_mub_per_fu": 0.0, "volume_a3_per_atom": 16.594, "spacegroup": "No. 127", "total_energy_ev_per_cell": -134.33, "dos_at_fermi_per_ev_fu": 9.94, "lattice_angstrom": [[3.869, 0.000, 0.000], [0.000, 9.262, 0.000], [0.000, 0.000, 9.262]], "species": ["Dy", "Rh", "Rh", "Ni", "Rh", "Rh", "Dy", "Ni", "Sn", "Ni", "Rh", "Dy", "Rh", "Rh", "Ni", "Rh", "Sn", "Rh", "Rh", "Dy"], "fractional_positions": [[0.000, 0.326, 0.826], [0.500, 0.070, 0.789], [0.500, 0.711, 0.430], [0.000, 0.378, 0.122], [0.500, 0.789, 0.930], [0.500, 0.430, 0.289], [0.000, 0.674, 0.174], [0.000, 0.622, 0.878], [0.000, 0.000, 0.000], [0.000, 0.878, 0.378], [0.500, 0.211, 0.070], [0.000, 0.826, 0.674], [0.500, 0.570, 0.711], [0.500, 0.000, 0.500], [0.000, 0.122, 0.622], [0.500, 0.500, 0.000], [0.000, 0.500, 0.500], [0.500, 0.930, 0.211], [0.500, 0.289, 0.570], [0.000, 0.174, 0.326]]}

Entry 10:
{"formula": "DyNiSnRh", "functional": "GGA-PBE", "state": "optimized geometry", "formation_enthalpy_0k_ev_per_atom": -0.612, "magmom_total_mub_per_fu": 0.0, "volume_a3_per_atom": 17.889, "spacegroup": "No. 216", "total_energy_ev_per_cell": -24.18, "dos_at_fermi_per_ev_fu": 3.57, "lattice_angstrom": [[-4.365, 1.041, 1.258], [-3.287, -3.303, -0.041], [-1.719, -1.627, 4.015]], "species": ["Dy", "Rh", "Ni", "Sn"], "fractional_positions": [[0.750, 0.750, 0.750], [0.000, 0.000, 0.000], [0.500, 0.500, 0.500], [0.250, 0.250, 0.250]]}

Entry 11:
{"formula": "DyTiNiRh", "functional": "GGA-PBE", "state": "optimized geometry", "formation_enthalpy_0k_ev_per_atom": -0.445, "magmom_total_mub_per_fu": 0.0, "volume_a3_per_atom": 17.077, "spacegroup": "No. 216", "total_energy_ev_per_cell": -27.41, "dos_at_fermi_per_ev_fu": 6.13, "lattice_angstrom": [[4.588, 0.000, 0.000], [2.294, 3.974, 0.000], [2.294, 1.325, 3.746]], "species": ["Ti", "Ni", "Dy", "Rh"], "fractional_positions": [[0.250, 0.250, 0.250], [0.500, 0.500, 0.500], [0.750, 0.750, 0.750], [0.000, 0.000, 0.000]]}

Entry 12:
{"formula": "DyYNiRh", "functional": "GGA-PBE", "state": "optimized geometry", "formation_enthalpy_0k_ev_per_atom": -0.616, "magmom_total_mub_per_fu": 0.0, "volume_a3_per_atom": 19.941, "de_polymorph_mev_per_atom": 27, "spacegroup": "No. 216", "total_energy_ev_per_cell": -26.66, "dos_at_fermi_per_ev_fu": 1.97, "lattice_angstrom": [[4.832, 0.000, 0.000], [2.416, 4.184, 0.000], [2.416, 1.395, 3.945]], "species": ["Ni", "Y", "Rh", "Dy"], "fractional_positions": [[0.000, 0.000, 0.000], [0.750, 0.750, 0.750], [0.500, 0.500, 0.500], [0.250, 0.250, 0.250]]}

Entry 13:
{"formula": "DyYNiRh", "functional": "GGA-PBE", "state": "optimized geometry", "formation_enthalpy_0k_ev_per_atom": -0.643, "magmom_total_mub_per_fu": 0.0, "volume_a3_per_atom": 20.868, "de_polymorph_mev_per_atom": 0, "spacegroup": "No. 38", "total_energy_ev_per_cell": -26.77, "dos_at_fermi_per_ev_fu": 2.48, "lattice_angstrom": [[-1.222, 3.009, 2.071], [-3.852, -1.371, -0.282], [1.278, -4.292, 3.409]], "species": ["Ni", "Dy", "Y", "Rh"], "fractional_positions": [[0.578, 0.500, 0.155], [0.859, 0.500, 0.718], [0.142, 0.000, 0.283], [0.422, 0.000, 0.843]]}

Entry 14:
{"formula": "Dy2Zn5Ni2Rh", "functional": "GGA-PBE", "state": "optimized geometry", "formation_enthalpy_0k_ev_per_atom": -0.378, "magmom_total_mub_per_fu": 0.0, "volume_a3_per_atom": 16.392, "spacegroup": "No. 127", "total_energy_ev_per_cell": -76.54, "dos_at_fermi_per_ev_fu": 4.01, "lattice_angstrom": [[3.984, 0.000, 0.000], [0.000, 9.071, 0.000], [0.000, 0.000, 9.071]], "species": ["Ni", "Zn", "Ni", "Dy", "Zn", "Rh", "Zn", "Zn", "Rh", "Zn", "Zn", "Zn", "Zn", "Dy", "Dy", "Ni", "Dy", "Zn", "Zn", "Ni"], "fractional_positions": [[0.000, 0.112, 0.612], [0.500, 0.000, 0.500], [0.000, 0.388, 0.112], [0.000, 0.182, 0.318], [0.500, 0.798, 0.943], [0.000, 0.500, 0.500], [0.500, 0.443, 0.298], [0.500, 0.557, 0.702], [0.000, 0.000, 0.000], [0.500, 0.202, 0.057], [0.500, 0.943, 0.202], [0.500, 0.057, 0.798], [0.500, 0.702, 0.443], [0.000, 0.318, 0.818], [0.000, 0.682, 0.182], [0.000, 0.888, 0.388], [0.000, 0.818, 0.682], [0.500, 0.500, 0.000], [0.500, 0.298, 0.557], [0.000, 0.612, 0.888]]}

Entry 15:
{"formula": "DyZnNiRh", "functional": "GGA-PBE", "state": "optimized geometry", "formation_enthalpy_0k_ev_per_atom": -0.468, "magmom_total_mub_per_fu": 0.0, "volume_a3_per_atom": 16.306, "spacegroup": "No. 216", "total_energy_ev_per_cell": -20.88, "dos_at_fermi_per_ev_fu": 1.90, "lattice_angstrom": [[-4.372, -0.736, -0.872], [-1.320, -1.071, -4.187], [-1.449, -4.181, -0.912]], "species": ["Dy", "Ni", "Zn", "Rh"], "fractional_positions": [[0.000, 0.000, 0.000], [0.250, 0.250, 0.250], [0.500, 0.500, 0.500], [0.750, 0.750, 0.750]]}

Entry 16:
{"formula": "Dy2ZnNi2Rh5", "functional": "GGA-PBE", "state": "optimized geometry", "formation_enthalpy_0k_ev_per_atom": -0.475, "magmom_total_mub_per_fu": 0.0, "volume_a3_per_atom": 16.017, "spacegroup": "No. 127", "total_energy_ev_per_cell": -127.09, "dos_at_fermi_per_ev_fu": 10.01, "lattice_angstrom": [[-0.139, 3.169, 2.160], [-6.769, -3.655, 4.928], [6.127, -3.632, 5.722]], "species": ["Rh", "Ni", "Rh", "Rh", "Ni", "Dy", "Rh", "Ni", "Dy", "Ni", "Zn", "Zn", "Dy", "Dy", "Rh", "Rh", "Rh", "Rh", "Rh", "Rh"], "fractional_positions": [[0.500, 0.933, 0.205], [0.000, 0.377, 0.123], [0.500, 0.067, 0.795], [0.500, 0.295, 0.567], [0.000, 0.623, 0.877], [0.000, 0.325, 0.825], [0.500, 0.795, 0.933], [0.000, 0.877, 0.377], [0.000, 0.825, 0.675], [0.000, 0.123, 0.623], [0.000, 0.500, 0.500], [0.000, 0.000, 0.000], [0.000, 0.675, 0.175], [0.000, 0.175, 0.325], [0.500, 0.433, 0.295], [0.500, 0.000, 0.500], [0.500, 0.205, 0.067], [0.500, 0.500, 0.000], [0.500, 0.567, 0.705], [0.500, 0.705, 0.433]]}

Entry 17:
{"formula": "Dy6NiRu5", "functional": "GGA-PBE", "state": "optimized geometry", "formation_enthalpy_0k_ev_per_atom": -0.353, "magmom_total_mub_per_fu": 0.0, "volume_a3_per_atom": 19.611, "spacegroup": "No. 65", "total_energy_ev_per_cell": -84.01, "dos_at_fermi_per_ev_fu": 10.49, "lattice_angstrom": [[4.563, -0.027, 1.521], [0.037, 6.803, 0.012], [0.008, -0.014, 7.583]], "species": ["Dy", "Ru", "Ru", "Dy", "Ru", "Dy", "Ni", "Ru", "Dy", "Dy", "Dy", "Ru"], "fractional_positions": [[0.167, 0.749, 0.665], [0.665, 0.000, 0.669], [0.335, 0.000, 0.331], [0.833, 0.749, 0.335], [0.334, 0.500, 0.332], [0.500, 0.251, 0.000], [0.000, 0.000, 0.000], [0.000, 0.500, 0.000], [0.833, 0.251, 0.335], [0.500, 0.749, 0.000], [0.167, 0.251, 0.665], [0.666, 0.500, 0.668]]}

Entry 18:
{"formula": "Dy2Ni3Ru", "functional": "GGA-PBE", "state": "optimized geometry", "formation_enthalpy_0k_ev_per_atom": -0.404, "magmom_total_mub_per_fu": 0.0, "volume_a3_per_atom": 15.978, "spacegroup": "No. 12", "total_energy_ev_per_cell": -38.25, "dos_at_fermi_per_ev_fu": 5.37, "lattice_angstrom": [[4.486, -0.139, -2.359], [-2.854, 4.185, -0.211], [-0.127, 0.189, 5.206]], "species": ["Ni", "Ru", "Ni", "Dy", "Ni", "Dy"], "fractional_positions": [[0.500, 0.500, 0.500], [0.000, 0.000, 0.000], [0.500, 0.000, 0.500], [0.248, 0.624, 0.873], [0.000, 0.000, 0.500], [0.752, 0.376, 0.127]]}

Entry 19:
{"formula": "Dy5Ni2Ru", "functional": "GGA-PBE", "state": "optimized geometry", "formation_enthalpy_0k_ev_per_atom": -0.357, "magmom_total_mub_per_fu": 0.0, "volume_a3_per_atom": 22.660, "spacegroup": "No. 140", "total_energy_ev_per_cell": -93.41, "dos_at_fermi_per_ev_fu": 7.03, "lattice_angstrom": [[-2.784, 5.497, -3.453], [1.423, -3.149, -6.160], [-5.836, -4.388, 4.944]], "species": ["Ru", "Dy", "Dy", "Ni", "Dy", "Dy", "Dy", "Dy", "Dy", "Dy", "Ni", "Dy", "Ru", "Dy", "Ni", "Ni"], "fractional_positions": [[0.250, 0.250, 0.500], [0.822, 0.971, 0.293], [0.178, 0.029, 0.707], [0.881, 0.619, 0.000], [0.322, 0.822, 0.293], [0.029, 0.529, 0.707], [0.471, 0.322, 0.293], [0.000, 0.000, 0.000], [0.529, 0.678, 0.707], [0.678, 0.178, 0.707], [0.119, 0.381, 0.000], [0.500, 0.500, 0.000], [0.750, 0.750, 0.500], [0.971, 0.471, 0.293], [0.381, 0.881, 0.000], [0.619, 0.119, 0.000]]}

Entry 20:
{"formula": "Dy8NiRu2", "functional": "GGA-PBE", "state": "optimized geometry", "formation_enthalpy_0k_ev_per_atom": -0.191, "magmom_total_mub_per_fu": 0.0, "volume_a3_per_atom": 26.420, "spacegroup": "No. 8", "total_energy_ev_per_cell": -63.25, "dos_at_fermi_per_ev_fu": 10.87, "lattice_angstrom": [[0.076, 4.736, -3.652], [6.535, -3.240, -1.725], [-5.909, -3.764, -2.663]], "species": ["Dy", "Dy", "Dy", "Dy", "Dy", "Ru", "Dy", "Dy", "Dy", "Ru", "Ni"], "fractional_positions": [[0.378, 0.925, 0.664], [0.794, 0.641, 0.641], [0.990, 0.207, 0.792], [0.177, 0.359, 0.359], [0.378, 0.664, 0.925], [0.479, 0.696, 0.317], [0.586, 0.349, 0.086], [0.990, 0.792, 0.207], [0.586, 0.086, 0.349], [0.479, 0.317, 0.696], [0.163, 0.997, 0.997]]}